1.
Material: Pm2AlSe4
Method: DFT, PBE-GGA
State: optimized geometry

a = 4.093 Å, b = 7.365 Å, c = 7.568 Å
α = 120.51°, β = 105.69°, γ = 90.00°
Atoms (fractional coordinates):
Pm1 0.725 0.737 0.449
Pm2 0.275 0.263 0.551
Al1 0.000 0.000 0.000
Se1 0.894 0.194 0.787
Se2 0.106 0.806 0.213
Se3 0.621 0.262 0.241
Se4 0.379 0.738 0.759

Properties
formation energy (no corrections): -1.39 eV/atom
D(E_F): 3.1 states/eV/cell
magnetic moment: 0.000 μB/atom

***

2.
Material: Pm2AlSe5
Method: DFT, PBE-GGA
State: optimized geometry

a = 7.530 Å, b = 7.419 Å, c = 5.810 Å
α = 124.57°, β = 113.43°, γ = 92.23°
Atoms (fractional coordinates):
Pm1 0.131 0.728 0.414
Pm2 0.745 0.148 0.511
Al1 0.039 0.038 0.005
Se1 0.868 0.296 0.207
Se2 0.196 0.263 0.897
Se3 0.761 0.701 0.950
Se4 0.294 0.871 0.112
Se5 0.743 0.731 0.458

Properties
formation energy (no corrections): -1.27 eV/atom
D(E_F): 1.3 states/eV/cell
magnetic moment: 0.000 μB/atom

***

3.
Material: PmAlSe3
Method: DFT, PBE-GGA
State: optimized geometry

a = 4.385 Å, b = 7.894 Å, c = 7.895 Å
α = 70.68°, β = 89.19°, γ = 89.19°
Atoms (fractional coordinates):
Pm1 0.984 0.187 0.626
Pm2 0.500 0.717 0.156
Al1 0.742 0.641 0.703
Al2 0.742 0.264 0.079
Se1 0.487 0.350 0.789
Se2 0.998 0.554 0.993
Se3 0.491 0.290 0.338
Se4 0.491 0.900 0.729
Se5 0.994 0.005 0.053
Se6 0.994 0.614 0.444

Properties
formation energy (no corrections): -1.32 eV/atom
magnetic moment: 0.000 μB/atom
polymorph energy (0 for the lowest one): 29 meV/atom